Ce6Si3Au: optimized geometry, GGA-PBE.

E = -5.854 eV per atom
E_form (uncorrected) = -0.3386 eV per atom

Unit cell a=7.3628 b=8.1008 c=11.2873 alpha=90.00 beta=128.86 gamma=90.00
With the nearest neighbours (Å) after each atom.
Space group P2_1/c (No. 14)
Asymmetric unit:
Ce (0.0080, 0.1111, 0.2429) [4 per cell]  3 Si 2.85-2.96, 1 Au 3.03
Ce (0.2189, 0.6794, 0.0697) [4 per cell]  3 Si 2.89-3.20, 1 Au 3.01, 1 Ce 3.11
Ce (0.4067, 0.1719, 0.0783) [4 per cell]  4 Si 2.89-3.20, 1 Au 3.01, 1 Ce 3.11
Si (0.0000, 0.0000, 0.0000) [2 per cell]  6 Ce 2.85-2.89
Si (0.2991, 0.1250, 0.7578) [4 per cell]  8 Ce 2.96-3.27
Au (0.5000, 0.0000, 0.5000) [2 per cell]  6 Ce 3.01-3.03